# Mg2HRuPb

A geometry-optimized Mg2HRuPb structure (GGA-PBE, Alexandria via LeMat-Bulk).

E in eV per cell: -16.43
Energy above the most stable polymorph in this dataset in eV/atom: 0.5979
M_tot in μB/cell: 0.00

```
data_Mg2HRuPb
_chemical_formula_sum 'Mg2 H1 Ru1 Pb1'
_cell_length_a 4.973
_cell_length_b 4.973
_cell_length_c 5.156
_cell_angle_alpha 90.00
_cell_angle_beta 90.00
_cell_angle_gamma 90.00
_symmetry_space_group_name_H-M 'P 4/m m m'
_symmetry_Int_Tables_number 123
_symmetry_space_group_name_Hall '-P 4 2'
loop_
_atom_site_label
_atom_site_fract_x
_atom_site_fract_y
_atom_site_fract_z
Mg1 0.000 0.500 0.000
H1 0.000 0.000 0.500
Ru1 0.500 0.500 0.000
Pb1 0.500 0.500 0.500
```